Record 1
Compound: Dy14HoPu
Source: Alexandria
Functional: PBE
Structure: optimized geometry

abc: 11.237 7.202 12.471
angles: 90.00 90.00 90.00
Space group Amm2 (No. 38)
Asymmetric unit:
1 Dy 0.000 0.000 0.000
2 Dy 0.000 0.000 0.500
3 Dy 0.000 0.250 0.250
4 Dy 0.249 0.000 0.333
5 Dy 0.252 0.000 0.835
6 Dy 0.253 0.247 0.082
7 Dy 0.500 0.249 0.750
8 Ho 0.500 0.000 0.500
9 Pu 0.500 0.000 0.000

Summary:
ΔH_f (0 K) in eV per atom: 0.028

Record 2
Compound: Ca3SiGe2
Source: Alexandria
Functional: PBE
Structure: optimized geometry

abc: 11.789 4.244 12.103
angles: 90.00 90.00 90.00
Space group Pnma (No. 62)
Asymmetric unit:
1 Ca 0.073 0.250 0.115
2 Ca 0.118 0.750 0.551
3 Ca 0.198 0.250 0.795
4 Si 0.144 0.250 0.353
5 Ge 0.029 0.750 0.317
6 Ge 0.200 0.750 0.990

Record 3
Compound: MgUO4
Source: Alexandria
Functional: PBE
Structure: optimized geometry

abc: 5.791 4.999 6.105
angles: 90.00 114.57 90.00
Space group P2_1/c (No. 14)
Asymmetric unit:
1 Mg 0.000 0.000 0.000
2 U 0.500 0.000 0.500
3 O 0.173 0.186 0.361
4 O 0.342 0.694 0.652

| no. | total magnetic moment (μB/f.u.) | calculated density (Mg/m³) | E_tot (eV for the cell shown) |
| --- | --- | --- | --- |
| 1 | 5.98 | 8.8 | -165.8 |
| 2 | 0.00 | 3.2 | -95.5 |
| 3 | 0.00 | 6.7 | -101.3 |